Entry 1:
Computed, not measured: a relaxed structure of PmAgSO at the PBE-GGA level of DFT.

POSCAR file:
```
PmAgSO
1.0
4.149 0.000 0.000
0.000 5.646 0.000
0.000 0.000 6.570
Pm Ag S O
2 2 2 2
Direct
0.000 0.238 0.000
0.000 0.762 0.500
0.500 0.318 0.606
0.500 0.682 0.106
0.500 0.090 0.280
0.500 0.910 0.780
0.000 0.452 0.709
0.000 0.548 0.209
```

Output
volume: 19.24 Å³/atom
distance to the lowest polymorph of the same formula: 1.41 eV/f.u.

Entry 2:
Computed, not measured: a relaxed structure of TaBeW2 at the PBE-GGA level of DFT.

POSCAR file:
```
TaBeW2
1.0
0.000 3.124 3.124
3.124 0.000 3.124
3.124 3.124 0.000
Ta Be W
1 1 2
Direct
0.000 0.000 0.000
0.750 0.750 0.750
0.250 0.250 0.250
0.500 0.500 0.500
```

Output
DFT total energy: -10.14 eV/atom
volume: 15.25 Å³/atom

Entry 3:
Computed, not measured: a relaxed structure of MoI3 at the PBE-GGA level of DFT.

POSCAR file:
```
MoI3
1.0
7.917 0.000 0.000
0.000 7.454 0.000
-7.300 0.000 13.129
Mo I
4 12
Direct
0.134 0.054 0.003
0.134 0.446 0.503
0.866 0.554 0.497
0.866 0.946 0.997
0.008 0.216 0.354
0.008 0.284 0.854
0.304 0.727 0.478
0.304 0.773 0.978
0.323 0.203 0.182
0.323 0.297 0.682
0.677 0.703 0.318
0.677 0.797 0.818
0.696 0.227 0.022
0.696 0.273 0.522
0.992 0.716 0.146
0.992 0.784 0.646
```

Output
DFT total energy: -4.02 eV/atom
volume: 48.42 Å³/atom

Entry 4:
Computed, not measured: a relaxed structure of FeSnHgSe3 at the PBE-GGA level of DFT.

POSCAR file:
```
FeSnHgSe3
1.0
1.856 -8.236 0.000
1.856 8.236 0.000
0.000 0.000 9.553
Fe Sn Hg Se
2 2 2 6
Direct
0.000 0.000 0.000
0.000 0.000 0.500
0.345 0.655 0.750
0.655 0.345 0.250
0.297 0.703 0.250
0.703 0.297 0.750
0.033 0.967 0.250
0.405 0.595 0.027
0.405 0.595 0.473
0.595 0.405 0.527
0.595 0.405 0.973
0.967 0.033 0.750
```

Output
volume: 24.34 Å³/atom
distance to the lowest polymorph of the same formula: 0.00 eV/f.u.

Entry 5:
Computed, not measured: a relaxed structure of NbNiHgSb at the PBE-GGA level of DFT.

POSCAR file:
```
NbNiHgSb
1.0
0.000 3.366 3.366
3.366 0.000 3.366
3.366 3.366 0.000
Nb Ni Hg Sb
1 1 1 1
Direct
0.000 0.000 0.000
0.750 0.750 0.750
0.250 0.250 0.250
0.500 0.500 0.500
```

Output
volume: 19.06 Å³/atom
distance to the lowest polymorph of the same formula: 1.01 eV/f.u.

Entry 6:
Computed, not measured: a relaxed structure of NaErB4H16 at the PBE-GGA level of DFT.

POSCAR file:
```
NaErB4H16
1.0
4.094 -5.889 0.000
4.094 5.889 0.000
0.000 0.000 8.749
Na Er B H
2 2 8 32
Direct
0.000 0.000 0.000
0.000 0.000 0.500
0.351 0.649 0.750
0.649 0.351 0.250
0.225 0.287 0.750
0.235 0.765 0.523
0.235 0.765 0.977
0.287 0.225 0.250
0.713 0.775 0.750
0.765 0.235 0.023
0.765 0.235 0.477
0.775 0.713 0.250
0.092 0.360 0.750
0.094 0.662 0.604
0.094 0.662 0.896
0.108 0.157 0.250
0.157 0.108 0.750
0.179 0.821 0.092
0.179 0.821 0.408
0.330 0.351 0.636
0.330 0.351 0.864
0.337 0.663 0.009
0.337 0.663 0.491
0.338 0.906 0.604
0.338 0.906 0.896
0.351 0.330 0.136
0.351 0.330 0.364
0.360 0.092 0.250
0.640 0.908 0.750
0.649 0.670 0.636
0.649 0.670 0.864
0.662 0.094 0.104
0.662 0.094 0.396
0.663 0.337 0.509
0.663 0.337 0.991
0.670 0.649 0.136
0.670 0.649 0.364
0.821 0.179 0.592
0.821 0.179 0.908
0.843 0.892 0.250
0.892 0.843 0.750
0.906 0.338 0.104
0.906 0.338 0.396
0.908 0.640 0.250
```

Output
DFT total energy: -4.24 eV/atom
volume: 9.59 Å³/atom

Entry 7:
Computed, not measured: a relaxed structure of CuAg3 at the PBE-GGA level of DFT.

POSCAR file:
```
CuAg3
1.0
4.089 0.000 0.000
0.000 4.000 0.000
0.000 0.000 8.100
Cu Ag
2 6
Direct
0.250 0.000 0.115
0.750 0.000 0.885
0.250 0.000 0.633
0.250 0.500 0.366
0.250 0.500 0.883
0.750 0.000 0.367
0.750 0.500 0.117
0.750 0.500 0.634
```

Output
volume: 16.56 Å³/atom
E_form: 0.0655 eV per atom

Entry 8:
Computed, not measured: a relaxed structure of SnPtW2 at the PBE-GGA level of DFT.

POSCAR file:
```
SnPtW2
1.0
0.000 3.251 3.251
3.251 0.000 3.251
3.251 3.251 0.000
Sn Pt W
1 1 2
Direct
0.000 0.000 0.000
0.250 0.250 0.250
0.500 0.500 0.500
0.750 0.750 0.750
```

Output
DFT total energy: -8.57 eV/atom
volume: 17.18 Å³/atom